[1]
Density functional theory data (GGA-PBE) for an optimized crystal structure of Ac4PrSm3Se8.

CIF file:
```
data_Ac4PrSm3Se8
_chemical_formula_sum 'Ac12 Pr3 Sm9 Se24'
_symmetry_space_group_name_H-M 'R -3 m'
_symmetry_Int_Tables_number 166
_symmetry_space_group_name_Hall '-R 3 2"'
_cell_length_a 8.6332
_cell_length_b 8.6332
_cell_length_c 21.3560
_cell_angle_alpha 90.00
_cell_angle_beta 90.00
_cell_angle_gamma 120.00
loop_
_atom_site_label
_atom_site_type_symbol
_atom_site_fract_x
_atom_site_fract_y
_atom_site_fract_z
Ac1 Ac 0.0000 0.0000 0.0000
Ac2 Ac 0.0000 0.5000 0.0000
Pr1 Pr 0.0000 0.0000 0.5000
Sm1 Sm 0.0000 0.5000 0.5000
Se1 Se 0.0000 0.0000 0.2433
Se2 Se 0.0039 0.5020 0.7558
```

Results
As for the total energy: -277.83 eV/cell.

[2]
Density functional theory data (GGA-PBE) for an optimized crystal structure of AcPrSm2Se4.

CIF file:
```
data_AcPrSm2Se4
_chemical_formula_sum 'Ac1 Pr1 Sm2 Se4'
_symmetry_space_group_name_H-M 'P 1 2/m 1'
_symmetry_Int_Tables_number 10
_cell_length_a 7.351
_cell_length_b 4.209
_cell_length_c 7.523
_cell_angle_alpha 90.00
_cell_angle_beta 108.76
_cell_angle_gamma 90.00
loop_
_symmetry_equiv_pos_as_xyz
'x,y,z'
'-x,-y,-z'
'-x,y,-z'
'x,-y,z'
loop_
_atom_site_label
_atom_site_type_symbol
_atom_site_fract_x
_atom_site_fract_y
_atom_site_fract_z
Ac1 Ac 0.000 0.000 0.000
Pr1 Pr 0.500 0.500 0.000
Sm1 Sm 0.000 0.500 0.500
Sm2 Sm 0.500 0.000 0.500
Se1 Se 0.250 0.000 0.737
Se2 Se 0.260 0.500 0.267
```

Results
As for the total energy: -46.88 eV/cell.

[3]
Density functional theory data (GGA-PBE) for an optimized crystal structure of SrAc2Pr3Se6.

CIF file:
```
data_SrAc2Pr3Se6
_chemical_formula_sum 'Sr2 Ac4 Pr6 Se12'
_symmetry_space_group_name_H-M 'C 1 2/m 1'
_symmetry_Int_Tables_number 12
_cell_length_a 7.538
_cell_length_b 13.074
_cell_length_c 7.556
_cell_angle_alpha 90.00
_cell_angle_beta 109.41
_cell_angle_gamma 90.00
loop_
_symmetry_equiv_pos_as_xyz
'x,y,z'
'-x,-y,-z'
'-x,y,-z'
'x,-y,z'
'x+1/2,y+1/2,z'
'-x+1/2,-y+1/2,-z'
'-x+1/2,y+1/2,-z'
'x+1/2,-y+1/2,z'
loop_
_atom_site_label
_atom_site_type_symbol
_atom_site_fract_x
_atom_site_fract_y
_atom_site_fract_z
Sr1 Sr 0.000 0.000 0.000
Ac1 Ac 0.000 0.334 0.000
Pr1 Pr 0.000 0.167 0.500
Pr2 Pr 0.000 0.500 0.500
Se1 Se 0.243 0.000 0.742
Se2 Se 0.249 0.335 0.741
```

Results
As for the total energy: -135.26 eV/cell.

[4]
Density functional theory data (GGA-PBE) for an optimized crystal structure of Sr3AcPr2Se6.

CIF file:
```
data_Sr3AcPr2Se6
_chemical_formula_sum 'Sr6 Ac2 Pr4 Se12'
_symmetry_space_group_name_H-M 'C 1 2/m 1'
_symmetry_Int_Tables_number 12
_cell_length_a 7.542
_cell_length_b 13.048
_cell_length_c 7.680
_cell_angle_alpha 90.00
_cell_angle_beta 109.13
_cell_angle_gamma 90.00
loop_
_symmetry_equiv_pos_as_xyz
'x,y,z'
'-x,-y,-z'
'-x,y,-z'
'x,-y,z'
'x+1/2,y+1/2,z'
'-x+1/2,-y+1/2,-z'
'-x+1/2,y+1/2,-z'
'x+1/2,-y+1/2,z'
loop_
_atom_site_label
_atom_site_type_symbol
_atom_site_fract_x
_atom_site_fract_y
_atom_site_fract_z
Sr1 Sr 0.000 0.000 0.000
Sr2 Sr 0.000 0.334 0.000
Ac1 Ac 0.000 0.500 0.500
Pr1 Pr 0.000 0.166 0.500
Se1 Se 0.243 0.000 0.747
Se2 Se 0.248 0.170 0.253
```

Results
As for the total energy: -125.49 eV/cell.